## w
DFT (PBE-GGA) results for La2TeN after structural relaxation.

DOS(E_F) = 5.79 states/eV per cell
space group = P2_1/c
volume = 28.443 A^3/atom

```
La2TeN
1.0
8.226 0.000 0.000
0.000 7.333 0.000
-0.810 0.000 7.544
La Te N
8 4 4
direct
0.069 0.135 0.315
0.069 0.365 0.815
0.310 0.685 0.535
0.310 0.815 0.035
0.690 0.185 0.965
0.690 0.315 0.465
0.931 0.635 0.185
0.931 0.865 0.685
0.346 0.112 0.683
0.346 0.388 0.183
0.654 0.612 0.817
0.654 0.888 0.317
0.156 0.680 0.799
0.156 0.820 0.299
0.844 0.180 0.701
0.844 0.320 0.201
```

## x
DFT (PBE-GGA) results for La2TeN after structural relaxation.

DOS(E_F) = 2.52 states/eV per cell
space group = Fm-3m
volume = 24.314 A^3/atom

```
La2TeN
1.0
0.000 3.650 3.650
3.650 0.000 3.650
3.650 3.650 0.000
La Te N
2 1 1
direct
0.250 0.250 0.250
0.750 0.750 0.750
0.000 0.000 0.000
0.500 0.500 0.500
```

Most stable one: w, least stable one: x.

## w
DFT (PBE-GGA) results for La2TeN after structural relaxation.

DOS(E_F) = 2.09 states/eV per cell
space group = R-3m
volume = 25.255 A^3/atom

```
La2TeN
1.0
1.994 1.151 7.337
-1.994 1.151 7.337
0.000 -2.302 7.337
La Te N
2 1 1
direct
0.230 0.230 0.230
0.770 0.770 0.770
0.000 0.000 0.000
0.500 0.500 0.500
```

## x
DFT (PBE-GGA) results for La2TeN after structural relaxation.

DOS(E_F) = 1.94 states/eV per cell
space group = R3m
volume = 25.332 A^3/atom

```
La2TeN
1.0
1.986 1.146 7.418
-1.986 1.146 7.418
0.000 -2.293 7.418
La Te N
2 1 1
direct
0.000 0.000 0.000
0.209 0.209 0.209
0.438 0.438 0.438
0.608 0.608 0.608
```

## y
DFT (PBE-GGA) results for La2TeN after structural relaxation.

DOS(E_F) = 0.84 states/eV per cell
space group = Cccm
volume = 28.866 A^3/atom

```
La2TeN
1.0
2.896 -6.678 0.000
2.896 6.678 0.000
0.000 0.000 5.970
La Te N
4 2 2
direct
0.114 0.310 0.000
0.310 0.114 0.500
0.690 0.886 0.500
0.886 0.690 0.000
0.000 0.500 0.500
0.500 0.000 0.000
0.000 0.000 0.250
0.000 0.000 0.750
```

## z
DFT (PBE-GGA) results for La2TeN after structural relaxation.

DOS(E_F) = 4.40 states/eV per cell
space group = I-42d
volume = 27.838 A^3/atom

```
La2TeN
1.0
-3.689 3.689 4.091
3.689 -3.689 4.091
3.689 3.689 -4.091
La Te N
4 2 2
direct
0.021 0.625 0.896
0.375 0.271 0.396
0.729 0.125 0.104
0.875 0.979 0.604
0.250 0.750 0.500
0.500 0.500 0.000
0.000 0.000 0.000
0.750 0.250 0.500
```

Most stable one: y, least stable one: z.

## w
DFT (PBE-GGA) results for LaTe3N after structural relaxation.

DOS(E_F) = 1.78 states/eV per cell
space group = Pm-3m
volume = 23.947 A^3/atom

```
LaTe3N
1.0
4.929 0.000 0.000
0.000 4.929 0.000
0.000 0.000 4.929
La Te N
1 3 1
direct
0.000 0.000 0.000
0.000 0.500 0.500
0.500 0.000 0.500
0.500 0.500 0.000
0.500 0.500 0.500
```

## x
DFT (PBE-GGA) results for LaTe3N after structural relaxation.

DOS(E_F) = 6.22 states/eV per cell
space group = Pm-3m
volume = 47.809 A^3/atom

```
LaTe3N
1.0
6.206 0.000 0.000
0.000 6.206 0.000
0.000 0.000 6.206
La Te N
1 3 1
direct
0.000 0.000 0.000
0.000 0.000 0.500
0.000 0.500 0.000
0.500 0.000 0.000
0.500 0.500 0.500
```

Most stable one: w, least stable one: x.

## w
DFT (PBE-GGA) results for La4Te2N after structural relaxation.

DOS(E_F) = 5.26 states/eV per cell
space group = C2/m
volume = 30.654 A^3/atom

```
La4Te2N
1.0
8.093 -2.038 0.000
8.093 2.038 0.000
-3.143 0.000 6.506
La Te N
4 2 1
direct
0.098 0.098 0.242
0.400 0.400 0.192
0.600 0.600 0.808
0.902 0.902 0.758
0.239 0.239 0.733
0.761 0.761 0.267
0.500 0.500 0.000
```

## x
DFT (PBE-GGA) results for La4Te2N after structural relaxation.

DOS(E_F) = 7.38 states/eV per cell
space group = I4/mmm
volume = 28.984 A^3/atom

```
La4Te2N
1.0
-2.447 2.447 8.469
2.447 -2.447 8.469
2.447 2.447 -8.469
La Te N
4 2 1
direct
0.000 0.500 0.500
0.163 0.163 0.000
0.500 0.000 0.500
0.837 0.837 0.000
0.358 0.358 0.000
0.642 0.642 0.000
0.000 0.000 0.000
```

Most stable one: x, least stable one: w.

## w
DFT (PBE-GGA) results for La3TeN2 after structural relaxation.

DOS(E_F) = 5.16 states/eV per cell
space group = Pmc2_1
volume = 23.441 A^3/atom

```
La3TeN2
1.0
3.746 0.000 0.000
0.000 11.279 0.000
0.000 0.000 6.658
La Te N
6 2 4
direct
0.000 0.092 0.000
0.000 0.908 0.500
0.500 0.169 0.526
0.500 0.387 0.871
0.500 0.613 0.371
0.500 0.831 0.026
0.000 0.369 0.276
0.000 0.631 0.776
0.000 0.260 0.773
0.000 0.740 0.273
0.500 0.003 0.272
0.500 0.997 0.772
```

## x
DFT (PBE-GGA) results for La3TeN2 after structural relaxation.

DOS(E_F) = 4.02 states/eV per cell
space group = Imma
volume = 24.840 A^3/atom

```
La3TeN2
1.0
-3.421 5.720 3.809
3.421 -5.720 3.809
3.421 5.720 -3.809
La Te N
6 2 4
direct
0.000 0.247 0.247
0.000 0.753 0.753
0.500 0.000 0.000
0.500 0.247 0.747
0.500 0.500 0.500
0.500 0.753 0.253
0.125 0.375 0.750
0.875 0.625 0.250
0.258 0.175 0.084
0.409 0.825 0.584
0.591 0.175 0.416
0.742 0.825 0.916
```

Most stable one: w, least stable one: x.

## w
DFT (PBE-GGA) results for LaVTeN2 after structural relaxation.

DOS(E_F) = 2.50 states/eV per cell
space group = P4/mmm
volume = 17.890 A^3/atom

```
LaVTeN2
1.0
4.151 0.000 0.000
0.000 4.151 0.000
0.000 0.000 5.193
La V Te N
1 1 1 2
direct
0.000 0.000 0.000
0.500 0.500 0.500
0.500 0.500 0.000
0.000 0.500 0.500
0.500 0.000 0.500
```

## x
DFT (PBE-GGA) results for LaVTeN2 after structural relaxation.

DOS(E_F) = 5.70 states/eV per cell
space group = P4/mmm
volume = 24.113 A^3/atom

```
LaVTeN2
1.0
4.229 0.000 0.000
0.000 4.229 0.000
0.000 0.000 6.740
La V Te N
1 1 1 2
direct
0.000 0.000 0.000
0.500 0.500 0.500
0.000 0.000 0.500
0.000 0.500 0.000
0.500 0.000 0.000
```

Most stable one: w, least stable one: x.

## w
DFT (PBE-GGA) results for LaYTe2N after structural relaxation.

DOS(E_F) = 4.00 states/eV per cell
space group = P4/mmm
volume = 31.351 A^3/atom

```
LaYTe2N
1.0
6.150 0.000 0.000
0.000 6.150 0.000
0.000 0.000 4.145
La Y Te N
1 1 2 1
direct
0.000 0.000 0.000
0.500 0.500 0.500
0.000 0.500 0.000
0.500 0.000 0.000
0.000 0.000 0.500
```

## x
DFT (PBE-GGA) results for LaYTe2N after structural relaxation.

DOS(E_F) = 2.85 states/eV per cell
space group = P4/mmm
volume = 29.680 A^3/atom

```
LaYTe2N
1.0
5.895 0.000 0.000
0.000 5.895 0.000
0.000 0.000 4.270
La Y Te N
1 1 2 1
direct
0.000 0.000 0.000
0.500 0.500 0.500
0.000 0.500 0.500
0.500 0.000 0.500
0.500 0.500 0.000
```

Most stable one: x, least stable one: w.

## w
DFT (PBE-GGA) results for LaZrTe2N after structural relaxation.

DOS(E_F) = 3.66 states/eV per cell
space group = P4/mmm
volume = 30.198 A^3/atom

```
LaZrTe2N
1.0
6.105 0.000 0.000
0.000 6.105 0.000
0.000 0.000 4.052
La Zr Te N
1 1 2 1
direct
0.000 0.000 0.000
0.500 0.500 0.500
0.000 0.500 0.000
0.500 0.000 0.000
0.000 0.000 0.500
```

## x
DFT (PBE-GGA) results for LaZrTe2N after structural relaxation.

DOS(E_F) = 1.37 states/eV per cell
space group = P4/mmm
volume = 27.050 A^3/atom

```
LaZrTe2N
1.0
5.748 0.000 0.000
0.000 5.748 0.000
0.000 0.000 4.093
La Zr Te N
1 1 2 1
direct
0.000 0.000 0.000
0.500 0.500 0.500
0.000 0.500 0.500
0.500 0.000 0.500
0.500 0.500 0.000
```

Most stable one: x, least stable one: w.

## w
DFT (PBE-GGA) results for La2ThN3 after structural relaxation.

DOS(E_F) = 4.38 states/eV per cell
space group = C2/m
volume = 18.124 A^3/atom

```
La2ThN3
1.0
7.088 -1.819 0.000
7.088 1.819 0.000
-2.828 0.000 8.432
La Th N
4 2 6
direct
0.168 0.168 0.333
0.331 0.331 0.164
0.669 0.669 0.836
0.832 0.832 0.667
0.000 0.000 0.500
0.500 0.500 0.000
0.023 0.023 0.810
0.315 0.315 0.862
0.375 0.375 0.470
0.625 0.625 0.530
0.685 0.685 0.138
0.977 0.977 0.190
```

## x
DFT (PBE-GGA) results for La2ThN3 after structural relaxation.

DOS(E_F) = 1.26 states/eV per cell
space group = Immm
volume = 18.165 A^3/atom

```
La2ThN3
1.0
-1.858 2.621 5.594
1.858 -2.621 5.594
1.858 2.621 -5.594
La Th N
2 1 3
direct
0.167 0.167 0.000
0.833 0.833 0.000
0.500 0.500 0.000
0.000 0.500 0.500
0.349 0.849 0.500
0.651 0.151 0.500
```

Most stable one: x, least stable one: w.

## w
DFT (PBE-GGA) results for LaTh2N3 after structural relaxation.

DOS(E_F) = 5.62 states/eV per cell
space group = C2/m
volume = 20.429 A^3/atom

```
LaTh2N3
1.0
9.404 -1.804 0.000
9.404 1.804 0.000
-1.562 0.000 7.225
La Th N
2 4 6
direct
0.000 0.000 0.000
0.500 0.500 0.500
0.167 0.167 0.841
0.320 0.320 0.666
0.680 0.680 0.334
0.833 0.833 0.159
0.191 0.191 0.543
0.222 0.222 0.151
0.426 0.426 0.164
0.574 0.574 0.836
0.778 0.778 0.849
0.809 0.809 0.457
```

## x
DFT (PBE-GGA) results for LaTh2N3 after structural relaxation.

DOS(E_F) = 3.44 states/eV per cell
space group = P6_3/mcm
volume = 18.915 A^3/atom

```
LaTh2N3
1.0
6.171 0.000 0.000
-3.086 5.345 0.000
0.000 0.000 6.881
La Th N
2 4 6
direct
0.000 0.000 0.250
0.000 0.000 0.750
0.333 0.667 0.000
0.333 0.667 0.500
0.667 0.333 0.000
0.667 0.333 0.500
0.000 0.448 0.250
0.000 0.552 0.750
0.448 0.000 0.250
0.448 0.448 0.750
0.552 0.000 0.750
0.552 0.552 0.250
```

Most stable one: x, least stable one: w.

## w
DFT (PBE-GGA) results for La3ThN4 after structural relaxation.

DOS(E_F) = 2.06 states/eV per cell
space group = Pm-3m
volume = 18.224 A^3/atom

```
La3ThN4
1.0
5.263 0.000 0.000
0.000 5.263 0.000
0.000 0.000 5.263
La Th N
3 1 4
direct
0.000 0.000 0.500
0.000 0.500 0.000
0.500 0.000 0.000
0.500 0.500 0.500
0.000 0.000 0.000
0.000 0.500 0.500
0.500 0.000 0.500
0.500 0.500 0.000
```

## x
DFT (PBE-GGA) results for La3ThN4 after structural relaxation.

DOS(E_F) = 2.32 states/eV per cell
space group = Cmmm
volume = 18.279 A^3/atom

```
La3ThN4
1.0
3.728 -5.264 0.000
3.728 5.264 0.000
0.000 0.000 3.726
La Th N
3 1 4
direct
0.000 0.000 0.000
0.000 0.500 0.500
0.500 0.000 0.500
0.500 0.500 0.000
0.259 0.741 0.000
0.265 0.265 0.500
0.735 0.735 0.500
0.741 0.259 0.000
```

Most stable one: x, least stable one: w.